1.
This record from Alexandria via LeMat-Bulk describes a relaxed Ho2Tl3BiS6 crystal. The functional is GGA-PBE.

Output
The space group is C2/m (12). The calculation puts the calculated total energy at -4.876 eV per atom. The value obtained for the volume is 321.10 Å³/cell. As for the formation energy from raw total energies: -1.134 eV per atom.

abc: 7.034 7.034 7.851
angles: 98.57 98.57 119.99
Fractional coordinates of all 12 atoms:
Ho  0.167  0.833  0.000
Ho  0.833  0.167  0.000
Tl  0.000  0.000  0.500
Tl  0.334  0.666  0.500
Tl  0.666  0.334  0.500
Bi  0.500  0.500  0.000
S  0.090  0.433  0.799
S  0.223  0.223  0.200
S  0.433  0.090  0.799
S  0.567  0.910  0.201
S  0.777  0.777  0.800
S  0.910  0.567  0.201

---

2.
This record from Alexandria via LeMat-Bulk describes a relaxed HoTl3Bi3S8 crystal. The functional is GGA-PBE.

Output
The space group is C2/m (12). The calculation puts the calculated total energy at -4.395 eV per atom. The value obtained for the volume is 419.85 Å³/cell. As for the formation energy from raw total energies: -0.639 eV per atom. The density of states at the Fermi level comes out at 0.445 states/eV/atom.

abc: 8.170 8.170 8.650
angles: 118.09 118.09 60.05
Fractional coordinates of all 15 atoms:
Ho  0.000  0.000  0.000
Tl  0.000  0.000  0.500
Tl  0.000  0.500  0.500
Tl  0.500  0.000  0.500
Bi  0.000  0.500  0.000
Bi  0.500  0.000  0.000
Bi  0.500  0.500  0.000
S  0.232  0.232  0.210
S  0.232  0.746  0.210
S  0.254  0.768  0.790
S  0.260  0.260  0.780
S  0.740  0.740  0.220
S  0.746  0.232  0.210
S  0.768  0.254  0.790
S  0.768  0.768  0.790

---

3.
This record from Alexandria via LeMat-Bulk describes a relaxed HoTl4Bi3S8 crystal. The functional is GGA-PBE.

Output
The space group is R-3m (166). The calculation puts the calculated total energy at -4.355 eV per atom. The value obtained for the volume is 438.27 Å³/cell. As for the formation energy from raw total energies: -0.686 eV per atom.

abc: 8.843 8.843 8.843
angles: 55.53 55.53 55.53
Fractional coordinates of all 16 atoms:
Ho  0.000  0.000  0.000
Tl  0.000  0.000  0.500
Tl  0.000  0.500  0.000
Tl  0.500  0.000  0.000
Tl  0.500  0.500  0.500
Bi  0.000  0.500  0.500
Bi  0.500  0.000  0.500
Bi  0.500  0.500  0.000
S  0.230  0.230  0.744
S  0.230  0.744  0.230
S  0.256  0.770  0.770
S  0.263  0.263  0.263
S  0.737  0.737  0.737
S  0.744  0.230  0.230
S  0.770  0.256  0.770
S  0.770  0.770  0.256

---

4.
This record from Alexandria via LeMat-Bulk describes a relaxed HoTmBiS2 crystal. The functional is GGA-PBE.

Output
The space group is I4mm (107). The calculation puts the calculated total energy at -5.500 eV per atom. The value obtained for the volume is 272.87 Å³/cell. As for the formation energy from raw total energies: -1.263 eV per atom. The density of states at the Fermi level comes out at 0.724 states/eV/atom.

abc: 4.488 4.488 13.546
angles: 90.00 90.00 90.00
Fractional coordinates of all 10 atoms:
Ho  0.000  0.000  0.000
Ho  0.500  0.500  0.500
Tm  0.000  0.000  0.294
Tm  0.500  0.500  0.794
Bi  0.000  0.000  0.646
Bi  0.500  0.500  0.146
S  0.000  0.500  0.395
S  0.000  0.500  0.895
S  0.500  0.000  0.395
S  0.500  0.000  0.895

---

5.
This record from Alexandria via LeMat-Bulk describes a relaxed HoBiSb crystal. The functional is GGA-PBE.

Output
The space group is P4/nmm (129). The value obtained for the energy above the lowest structure with this stoichiometry is 0.00 kcal/mol of atoms. The calculation puts the calculated total energy at -4.758 eV per atom. The value obtained for the volume is 172.79 Å³/cell. As for the formation energy from raw total energies: -0.564 eV per atom. The density of states at the Fermi level comes out at 0.600 states/eV/atom.

abc: 4.296 4.296 9.362
angles: 90.00 90.00 90.00
Fractional coordinates of all 6 atoms:
Ho  0.250  0.250  0.243
Ho  0.750  0.750  0.757
Bi  0.250  0.250  0.888
Bi  0.750  0.750  0.112
Sb  0.250  0.750  0.500
Sb  0.750  0.250  0.500

---

6.
This record from Alexandria via LeMat-Bulk describes a relaxed HoBiSb crystal. The functional is GGA-PBE.

Output
The space group is P3m1 (156). The value obtained for the energy above the lowest structure with this stoichiometry is 7.22 kcal/mol of atoms. The calculation puts the calculated total energy at -4.445 eV per atom. The value obtained for the volume is 92.86 Å³/cell. As for the formation energy from raw total energies: -0.251 eV per atom. The density of states at the Fermi level comes out at 0.951 states/eV/atom.

abc: 5.117 5.117 4.095
angles: 90.00 90.00 120.00
Fractional coordinates of all 3 atoms:
Ho  0.000  0.000  0.000
Bi  0.667  0.333  0.500
Sb  0.333  0.667  0.999

---

7.
This record from Alexandria via LeMat-Bulk describes a relaxed Ho3BiSb crystal. The functional is GGA-PBE.

Output
The space group is Immm (71). The calculation puts the calculated total energy at -5.085 eV per atom. The value obtained for the volume is 297.75 Å³/cell. As for the formation energy from raw total energies: -0.738 eV per atom. The density of states at the Fermi level comes out at 0.527 states/eV/atom.

abc: 11.664 11.664 11.664
angles: 158.82 148.67 38.13
Fractional coordinates of all 10 atoms:
Ho  0.107  0.107  0.000
Ho  0.257  0.500  0.757
Ho  0.309  0.309  0.000
Ho  0.691  0.691  0.000
Ho  0.743  0.500  0.243
Ho  0.893  0.893  0.000
Bi  0.206  0.706  0.500
Bi  0.794  0.294  0.500
Sb  0.413  0.913  0.500
Sb  0.587  0.087  0.500

---

8.
This record from Alexandria via LeMat-Bulk describes a relaxed Ho6BiSb2 crystal. The functional is GGA-PBE.

Output
The space group is P2_1/c (14). The calculation puts the calculated total energy at -4.967 eV per atom. The value obtained for the volume is 536.67 Å³/cell. As for the formation energy from raw total energies: -0.568 eV per atom. The density of states at the Fermi level comes out at 1.060 states/eV/atom.

abc: 6.345 8.276 11.866
angles: 90.00 120.55 90.00
Fractional coordinates of all 18 atoms:
Ho  0.055  0.198  0.441
Ho  0.055  0.302  0.941
Ho  0.308  0.655  0.443
Ho  0.308  0.845  0.943
Ho  0.349  0.037  0.215
Ho  0.349  0.463  0.715
Ho  0.651  0.537  0.285
Ho  0.651  0.963  0.785
Ho  0.692  0.155  0.057
Ho  0.692  0.345  0.557
Ho  0.945  0.698  0.059
Ho  0.945  0.802  0.559
Bi  0.500  0.000  0.500
Bi  0.500  0.500  0.000
Sb  0.157  0.119  0.741
Sb  0.157  0.381  0.241
Sb  0.843  0.619  0.759
Sb  0.843  0.881  0.259

---

9.
This record from Alexandria via LeMat-Bulk describes a relaxed Ho5BiSb4 crystal. The functional is GGA-PBE.

Output
The space group is Immm (71). The calculation puts the calculated total energy at -5.384 eV per atom. The value obtained for the volume is 297.89 Å³/cell. As for the formation energy from raw total energies: -1.058 eV per atom. The density of states at the Fermi level comes out at 0.192 states/eV/atom.

abc: 11.603 11.603 11.603
angles: 158.22 149.02 38.19
Fractional coordinates of all 10 atoms:
Ho  0.000  0.000  0.000
Ho  0.199  0.199  0.000
Ho  0.397  0.397  0.000
Ho  0.603  0.603  0.000
Ho  0.801  0.801  0.000
Bi  0.500  0.000  0.500
Sb  0.100  0.600  0.500
Sb  0.299  0.799  0.500
Sb  0.701  0.201  0.500
Sb  0.900  0.400  0.500

---

10.
This record from Alexandria via LeMat-Bulk describes a relaxed Ho8BiSb5 crystal. The functional is GGA-PBE.

Output
The space group is I-4 (82). The calculation puts the calculated total energy at -5.290 eV per atom. The value obtained for the volume is 387.42 Å³/cell. As for the formation energy from raw total energies: -0.925 eV per atom. The density of states at the Fermi level comes out at 1.023 states/eV/atom.

abc: 7.954 7.954 7.954
angles: 109.40 109.40 109.62
Fractional coordinates of all 14 atoms:
Ho  0.025  0.124  0.755
Ho  0.235  0.483  0.605
Ho  0.370  0.270  0.245
Ho  0.371  0.765  0.248
Ho  0.517  0.123  0.752
Ho  0.730  0.975  0.099
Ho  0.876  0.630  0.901
Ho  0.877  0.629  0.395
Bi  0.750  0.250  0.500
Sb  0.127  0.004  0.377
Sb  0.250  0.873  0.876
Sb  0.500  0.500  0.000
Sb  0.626  0.750  0.623
Sb  0.996  0.374  0.124

---

11.
This record from Alexandria via LeMat-Bulk describes a relaxed Ho8Bi5Sb crystal. The functional is GGA-PBE.

Output
The space group is I-4 (82). The calculation puts the calculated total energy at -5.040 eV per atom. The value obtained for the volume is 404.55 Å³/cell. As for the formation energy from raw total energies: -0.744 eV per atom. The density of states at the Fermi level comes out at 1.145 states/eV/atom.

abc: 8.070 8.070 8.070
angles: 109.61 109.61 109.20
Fractional coordinates of all 14 atoms:
Ho  0.028  0.131  0.752
Ho  0.234  0.477  0.609
Ho  0.375  0.766  0.244
Ho  0.378  0.276  0.248
Ho  0.523  0.132  0.756
Ho  0.724  0.972  0.102
Ho  0.868  0.625  0.391
Ho  0.869  0.622  0.898
Bi  0.000  0.373  0.128
Bi  0.128  0.000  0.373
Bi  0.245  0.872  0.872
Bi  0.627  0.755  0.627
Bi  0.750  0.250  0.500
Sb  0.500  0.500  0.000

---

12.
This record from Alexandria via LeMat-Bulk describes a relaxed Ho5Bi2Sb crystal. The functional is GGA-PBE.

Output
The space group is Cmcm (63). The calculation puts the calculated total energy at -4.742 eV per atom. The value obtained for the volume is 518.88 Å³/cell. As for the formation energy from raw total energies: -0.396 eV per atom. The density of states at the Fermi level comes out at 0.921 states/eV/atom.

abc: 6.846 6.846 13.851
angles: 90.00 90.00 126.93
Fractional coordinates of all 16 atoms:
Ho  0.065  0.935  0.605
Ho  0.065  0.935  0.895
Ho  0.376  0.624  0.250
Ho  0.378  0.622  0.560
Ho  0.378  0.622  0.940
Ho  0.622  0.378  0.060
Ho  0.622  0.378  0.440
Ho  0.624  0.376  0.750
Ho  0.935  0.065  0.105
Ho  0.935  0.065  0.395
Bi  0.189  0.811  0.097
Bi  0.189  0.811  0.403
Bi  0.811  0.189  0.597
Bi  0.811  0.189  0.903
Sb  0.246  0.754  0.750
Sb  0.754  0.246  0.250

---

The lowest formation energy from raw total energies belongs to which entry? HoTmBiS2

---

The highest volume belongs to which entry? Ho6BiSb2

---

The lowest formation energy from raw total energies belongs to which entry? HoTmBiS2